Entry 1:
Compound: HfTc3Rh
Source: Alexandria
Functional: PBE
Structure: optimized geometry

The structure in POSCAR format:
```
HfTc3Rh
1.0
4.632 0.000 0.000
0.000 4.632 0.000
0.000 0.000 4.632
Hf Tc Rh
1 3 1
Direct
0.000 0.000 0.000
0.000 0.500 0.500
0.500 0.000 0.500
0.500 0.500 0.000
0.500 0.500 0.500
```

Calculated values
Its density of states at the Fermi level is 6.56 states/eV/cell. The calculation puts the formation energy from the elements at 1.385 eV/atom. The total energy is -8.2957 eV/atom. The value obtained for the theoretical density is 9.6 g/cm3. The magnetic moment is 0.0 μB/f.u. Its space group is Pm-3m, No. 221. The calculation puts the energy above the most stable polymorph in this dataset at 0.0 meV per atom.

=====

Entry 2:
Compound: SrLiPb
Source: Alexandria
Functional: PBE
Structure: optimized geometry

The structure in POSCAR format:
```
SrLiPb
1.0
8.138 0.000 0.000
0.000 5.044 0.000
0.000 0.000 8.649
Sr Li Pb
4 4 4
Direct
0.003 0.250 0.202
0.497 0.750 0.702
0.503 0.250 0.298
0.997 0.750 0.798
0.173 0.750 0.423
0.327 0.250 0.923
0.673 0.750 0.077
0.827 0.250 0.577
0.200 0.250 0.592
0.300 0.750 0.092
0.700 0.250 0.908
0.800 0.750 0.408
```

Calculated values
Its density of states at the Fermi level is 10.79 states/eV/cell. The calculation puts the formation energy from the elements at -0.448 eV/atom. The total energy is -2.8830 eV/atom. The value obtained for the theoretical density is 5.6 g/cm3. The magnetic moment is 0.0 μB/f.u. Its space group is Pnma, No. 62.

=====

Entry 3:
Compound: Tb5YEr4
Source: Alexandria
Functional: PBE
Structure: optimized geometry

The structure in POSCAR format:
```
Tb5YEr4
1.0
6.256 0.000 0.000
-3.126 5.917 0.000
-0.004 -3.151 8.611
Tb Y Er
5 1 4
Direct
0.000 0.000 0.000
0.066 0.801 0.298
0.402 0.801 0.801
0.667 0.000 0.499
0.801 0.600 0.599
0.268 0.202 0.700
0.199 0.402 0.398
0.467 0.601 0.100
0.599 0.201 0.199
0.868 0.401 0.901
```

Calculated values
Its density of states at the Fermi level is 16.92 states/eV/cell. The calculation puts the formation energy from the elements at 0.005 eV/atom. The total energy is -4.7818 eV/atom. The value obtained for the theoretical density is 8.1 g/cm3. The magnetic moment is 0.0 μB/f.u. Its space group is P1, No. 1.

=====

Entry 4:
Compound: AcPm5HoEr2
Source: Alexandria
Functional: PBE
Structure: optimized geometry

The structure in POSCAR format:
```
AcPm5HoEr2
1.0
2.897 -8.744 0.000
2.897 8.744 0.000
0.000 0.000 12.165
Ac Pm Ho Er
2 10 2 4
Direct
0.115 0.885 0.500
0.885 0.115 0.000
0.078 0.922 0.842
0.081 0.919 0.165
0.268 0.732 0.296
0.269 0.731 0.706
0.440 0.560 0.148
0.560 0.440 0.648
0.731 0.269 0.206
0.732 0.268 0.796
0.919 0.081 0.665
0.922 0.078 0.342
0.248 0.752 0.000
0.752 0.248 0.500
0.387 0.613 0.500
0.438 0.562 0.854
0.562 0.438 0.354
0.613 0.387 0.000
```

Calculated values
Its density of states at the Fermi level is 27.49 states/eV/cell. The calculation puts the formation energy from the elements at 0.084 eV/atom. The total energy is -4.5342 eV/atom. The value obtained for the theoretical density is 7.8 g/cm3. The magnetic moment is 0.0 μB/f.u. Its space group is Cmc2_1, No. 36.

=====

Entry 5:
Compound: KZrSe2N
Source: Alexandria
Functional: PBE
Structure: optimized geometry

The structure in POSCAR format:
```
KZrSe2N
1.0
5.392 0.000 0.000
0.000 5.392 0.000
0.000 0.000 4.302
K Zr Se N
1 1 2 1
Direct
0.000 0.000 0.000
0.500 0.500 0.500
0.000 0.500 0.500
0.500 0.000 0.500
0.500 0.500 0.000
```

Calculated values
Its density of states at the Fermi level is 1.84 states/eV/cell. The total energy is -5.5998 eV/atom. The value obtained for the theoretical density is 4.0 g/cm3. The magnetic moment is 1.7 μB/f.u. Its space group is P4/mmm, No. 123. The calculation puts the energy above the most stable polymorph in this dataset at 0.0 meV per atom. The uncorrected formation energy comes out at -0.612 eV per atom.

=====

Entry 6:
Compound: YHf2Zr6
Source: Alexandria
Functional: PBE
Structure: optimized geometry

The structure in POSCAR format:
```
YHf2Zr6
1.0
5.511 -6.705 0.000
5.511 6.705 0.000
-1.616 0.000 5.879
Y Hf Zr
2 4 12
Direct
0.095 0.905 0.750
0.905 0.095 0.250
0.344 0.370 0.635
0.370 0.344 0.135
0.630 0.656 0.865
0.656 0.630 0.365
0.039 0.263 0.824
0.080 0.457 0.306
0.263 0.039 0.324
0.268 0.637 0.977
0.363 0.732 0.523
0.457 0.080 0.806
0.543 0.920 0.194
0.637 0.268 0.477
0.732 0.363 0.023
0.737 0.961 0.676
0.920 0.543 0.694
0.961 0.737 0.176
```

Calculated values
Its density of states at the Fermi level is 24.48 states/eV/cell. The calculation puts the formation energy from the elements at 0.101 eV/atom. The total energy is -8.5283 eV/atom. The value obtained for the theoretical density is 7.6 g/cm3. The magnetic moment is 0.0 μB/f.u. Its space group is C2/c, No. 15.

=====

Entry 7:
Compound: Ac2PmCuTe5
Source: Alexandria
Functional: PBE
Structure: optimized geometry

The structure in POSCAR format:
```
Ac2PmCuTe5
1.0
2.249 -9.839 0.000
2.249 9.839 0.000
0.000 0.000 13.399
Ac Pm Cu Te
4 2 2 10
Direct
0.110 0.890 0.500
0.123 0.877 0.124
0.877 0.123 0.624
0.890 0.110 0.000
0.191 0.809 0.824
0.809 0.191 0.324
0.429 0.571 0.268
0.571 0.429 0.768
0.042 0.958 0.869
0.288 0.712 0.487
0.312 0.688 0.161
0.355 0.645 0.815
0.499 0.501 0.099
0.501 0.499 0.599
0.645 0.355 0.315
0.688 0.312 0.661
0.712 0.288 0.987
0.958 0.042 0.369
```

Calculated values
The total energy is -4.9547 eV/atom. The value obtained for the theoretical density is 7.3 g/cm3. The magnetic moment is 0.0 μB/f.u. Its space group is Cmc2_1, No. 36. The uncorrected formation energy comes out at -1.313 eV per atom.

=====

Entry 8:
Compound: AgHg2GeF8
Source: Alexandria
Functional: PBE
Structure: optimized geometry

The structure in POSCAR format:
```
AgHg2GeF8
1.0
5.322 0.000 0.000
0.174 5.320 0.000
0.294 0.328 6.643
Ag Hg Ge F
1 2 1 8
Direct
0.000 0.000 0.000
0.489 0.504 0.290
0.511 0.496 0.710
0.000 0.000 0.500
0.064 0.698 0.630
0.161 0.160 0.700
0.295 0.981 0.351
0.309 0.676 0.004
0.691 0.324 0.996
0.705 0.019 0.649
0.839 0.840 0.300
0.936 0.302 0.370
```

Calculated values
Its density of states at the Fermi level is 4.22 states/eV/cell. The total energy is -3.5983 eV/atom. The value obtained for the theoretical density is 6.5 g/cm3. The magnetic moment is 0.1 μB/f.u. Its space group is P-1, No. 2. The uncorrected formation energy comes out at -1.678 eV per atom.

=====

Entry 9:
Compound: NbGaRuPt
Source: Alexandria
Functional: PBE
Structure: optimized geometry

The structure in POSCAR format:
```
NbGaRuPt
1.0
4.040 0.000 0.000
0.000 4.040 0.000
0.000 0.000 7.585
Nb Ga Ru Pt
2 2 2 2
Direct
0.000 0.000 0.000
0.500 0.500 0.500
0.000 0.000 0.500
0.500 0.500 0.000
0.000 0.500 0.750
0.500 0.000 0.250
0.000 0.500 0.250
0.500 0.000 0.750
```

Calculated values
Its density of states at the Fermi level is 2.48 states/eV/cell. The calculation puts the formation energy from the elements at -0.514 eV/atom. The total energy is -7.6170 eV/atom. The value obtained for the theoretical density is 12.3 g/cm3. The magnetic moment is 0.0 μB/f.u. Its space group is I-4m2, No. 119.

=====

Entry 10:
Compound: RbMgAgI4
Source: Alexandria
Functional: PBE
Structure: optimized geometry

The structure in POSCAR format:
```
RbMgAgI4
1.0
7.145 0.000 0.000
0.000 9.347 0.000
-2.084 0.000 9.617
Rb Mg Ag I
2 2 2 8
Direct
0.193 0.250 0.076
0.807 0.750 0.924
0.213 0.750 0.312
0.787 0.250 0.688
0.300 0.250 0.686
0.700 0.750 0.314
0.040 0.023 0.729
0.040 0.477 0.729
0.371 0.750 0.075
0.490 0.250 0.462
0.510 0.750 0.538
0.629 0.250 0.925
0.960 0.523 0.271
0.960 0.977 0.271
```

Calculated values
Its density of states at the Fermi level is 0.00 states/eV/cell. The total energy is -2.5806 eV/atom. The value obtained for the theoretical density is 3.8 g/cm3. The magnetic moment is 0.0 μB/f.u. Its space group is P2_1/m, No. 11. The uncorrected formation energy comes out at -0.921 eV per atom.

=====

Entry 11:
Compound: AcPm3Pr7
Source: Alexandria
Functional: PBE
Structure: optimized geometry

The structure in POSCAR format:
```
AcPm3Pr7
1.0
6.580 -5.736 0.000
6.580 5.736 0.000
-2.914 0.000 5.471
Ac Pm Pr
1 3 7
Direct
0.000 0.000 0.000
0.289 0.711 0.500
0.500 0.500 0.000
0.711 0.289 0.500
0.000 0.000 0.500
0.097 0.495 0.796
0.302 0.302 0.303
0.495 0.097 0.796
0.505 0.903 0.204
0.698 0.698 0.697
0.903 0.505 0.204
```

Calculated values
Its density of states at the Fermi level is 15.95 states/eV/cell. The calculation puts the formation energy from the elements at 0.231 eV/atom. The total energy is -4.4798 eV/atom. The value obtained for the theoretical density is 6.6 g/cm3. The magnetic moment is 0.4 μB/f.u. Its space group is C2/m, No. 12.

=====

Entry 12:
Compound: CrReIr2
Source: Alexandria
Functional: PBE
Structure: optimized geometry

The structure in POSCAR format:
```
CrReIr2
1.0
2.725 0.000 0.000
-1.362 2.360 0.000
0.000 0.000 26.379
Cr Re Ir
3 3 6
Direct
0.000 0.000 0.000
0.333 0.667 0.667
0.667 0.333 0.333
0.000 0.000 0.249
0.333 0.667 0.916
0.667 0.333 0.582
0.000 0.000 0.500
0.000 0.000 0.743
0.333 0.667 0.166
0.333 0.667 0.410
0.667 0.333 0.076
0.667 0.333 0.833
```

Calculated values
Its density of states at the Fermi level is 14.30 states/eV/cell. The calculation puts the formation energy from the elements at -0.006 eV/atom. The total energy is -9.9539 eV/atom. The value obtained for the theoretical density is 18.3 g/cm3. The magnetic moment is 0.0 μB/f.u. Its space group is R3m, No. 160. The calculation puts the energy above the most stable polymorph in this dataset at 253.9 meV per atom.